[1]
# PBE Tb4Ru6O19, relaxed
# **DFT total energy**: -220.1 eV/cell
# **E_form (uncorrected)**: -1.78 eV/atom
# **Space group**: I23 (197)
# **Volume**: 12.54 Å³ per atom
data_Tb4Ru6O19
_space_group_name_H-M_alt 'P 1'
_space_group_IT_number 1
_space_group_name_Hall 'P 1'
_cell_length_a 7.789
_cell_length_b 7.789
_cell_length_c 7.789
_cell_angle_alpha 109.47
_cell_angle_beta 109.47
_cell_angle_gamma 109.47
loop_
_atom_site_label
_atom_site_type_symbol
_atom_site_fract_x
_atom_site_fract_y
_atom_site_fract_z
Tb1 Tb 0.000 0.000 0.297
Tb2 Tb 0.000 0.297 0.000
Tb3 Tb 0.297 0.000 0.000
Tb4 Tb 0.703 0.703 0.703
Ru1 Ru 0.138 0.500 0.638
Ru2 Ru 0.362 0.862 0.500
Ru3 Ru 0.500 0.362 0.862
Ru4 Ru 0.500 0.638 0.138
Ru5 Ru 0.638 0.138 0.500
Ru6 Ru 0.862 0.500 0.362
O1 O 0.000 0.000 0.000
O2 O 0.000 0.320 0.320
O3 O 0.000 0.680 0.680
O4 O 0.057 0.748 0.371
O5 O 0.252 0.309 0.623
O6 O 0.309 0.623 0.252
O7 O 0.314 0.691 0.943
O8 O 0.320 0.000 0.320
O9 O 0.320 0.320 0.000
O10 O 0.371 0.057 0.748
O11 O 0.377 0.686 0.629
O12 O 0.623 0.252 0.309
O13 O 0.629 0.377 0.686
O14 O 0.680 0.000 0.680
O15 O 0.680 0.680 0.000
O16 O 0.686 0.629 0.377
O17 O 0.691 0.943 0.314
O18 O 0.748 0.371 0.057
O19 O 0.943 0.314 0.691

[2]
# PBE ReP2Pb, relaxed
# **DFT total energy**: -25.2 eV/cell
# **Space group**: Immm (71)
# **DFT formation energy**: 433 meV/atom
# **Volume**: 21.51 Å³ per atom
data_ReP2Pb
_space_group_name_H-M_alt 'P 1'
_space_group_IT_number 1
_space_group_name_Hall 'P 1'
_cell_length_a 5.857
_cell_length_b 5.857
_cell_length_c 5.857
_cell_angle_alpha 150.59
_cell_angle_beta 117.96
_cell_angle_gamma 70.12
loop_
_atom_site_label
_atom_site_type_symbol
_atom_site_fract_x
_atom_site_fract_y
_atom_site_fract_z
Re1 Re 0.000 0.000 0.000
P1 P 0.192 0.692 0.500
P2 P 0.808 0.308 0.500
Pb1 Pb 0.500 0.500 0.000

[3]
# PBE K2Li, relaxed
# **DFT total energy**: -14.1 eV/cell
# **Space group**: Pa-3 (205)
# **DFT formation energy**: 196 meV/atom
# **Volume**: 60.02 Å³ per atom
data_K2Li
_space_group_name_H-M_alt 'P 1'
_space_group_IT_number 1
_space_group_name_Hall 'P 1'
_cell_length_a 8.964
_cell_length_b 8.964
_cell_length_c 8.964
_cell_angle_alpha 90.00
_cell_angle_beta 90.00
_cell_angle_gamma 90.00
loop_
_atom_site_label
_atom_site_type_symbol
_atom_site_fract_x
_atom_site_fract_y
_atom_site_fract_z
K1 K 0.151 0.151 0.151
K2 K 0.151 0.349 0.651
K3 K 0.349 0.651 0.151
K4 K 0.349 0.849 0.651
K5 K 0.651 0.151 0.349
K6 K 0.651 0.349 0.849
K7 K 0.849 0.651 0.349
K8 K 0.849 0.849 0.849
Li1 Li 0.000 0.000 0.500
Li2 Li 0.000 0.500 0.000
Li3 Li 0.500 0.000 0.000
Li4 Li 0.500 0.500 0.500

[4]
# PBE Ac3Se3F, relaxed
# **DFT total energy**: -38.9 eV/cell
# **E_form (uncorrected)**: -2.04 eV/atom
# **Space group**: R3m (160)
# **Volume**: 29.30 Å³ per atom
data_Ac3Se3F
_space_group_name_H-M_alt 'P 1'
_space_group_IT_number 1
_space_group_name_Hall 'P 1'
_cell_length_a 6.470
_cell_length_b 6.470
_cell_length_c 6.470
_cell_angle_alpha 109.90
_cell_angle_beta 109.90
_cell_angle_gamma 109.90
loop_
_atom_site_label
_atom_site_type_symbol
_atom_site_fract_x
_atom_site_fract_y
_atom_site_fract_z
Ac1 Ac 0.195 0.195 0.609
Ac2 Ac 0.195 0.609 0.195
Ac3 Ac 0.609 0.195 0.195
Se1 Se 0.110 0.690 0.690
Se2 Se 0.690 0.110 0.690
Se3 Se 0.690 0.690 0.110
F1 F 0.364 0.364 0.364

[5]
# PBE Tm5Zr3Ni16As12, relaxed
# **DFT total energy**: -225.8 eV/cell
# **Space group**: P-62m (189)
# **DFT formation energy**: -819 meV/atom
# **Volume**: 15.27 Å³ per atom
data_Tm5Zr3Ni16As12
_space_group_name_H-M_alt 'P 1'
_space_group_IT_number 1
_space_group_name_Hall 'P 1'
_cell_length_a 12.744
_cell_length_b 12.744
_cell_length_c 3.909
_cell_angle_alpha 90.00
_cell_angle_beta 90.00
_cell_angle_gamma 120.00
loop_
_atom_site_label
_atom_site_type_symbol
_atom_site_fract_x
_atom_site_fract_y
_atom_site_fract_z
Tm1 Tm 0.000 0.183 0.000
Tm2 Tm 0.183 0.000 0.000
Tm3 Tm 0.333 0.667 0.500
Tm4 Tm 0.667 0.333 0.500
Tm5 Tm 0.817 0.817 0.000
Zr1 Zr 0.000 0.563 0.500
Zr2 Zr 0.437 0.437 0.500
Zr3 Zr 0.563 0.000 0.500
Ni1 Ni 0.000 0.000 0.500
Ni2 Ni 0.000 0.724 0.000
Ni3 Ni 0.122 0.483 0.000
Ni4 Ni 0.184 0.808 0.500
Ni5 Ni 0.192 0.376 0.500
Ni6 Ni 0.276 0.276 0.000
Ni7 Ni 0.362 0.878 0.000
Ni8 Ni 0.376 0.192 0.500
Ni9 Ni 0.483 0.122 0.000
Ni10 Ni 0.517 0.638 0.000
Ni11 Ni 0.624 0.816 0.500
Ni12 Ni 0.638 0.517 0.000
Ni13 Ni 0.724 0.000 0.000
Ni14 Ni 0.808 0.184 0.500
Ni15 Ni 0.816 0.624 0.500
Ni16 Ni 0.878 0.362 0.000
As1 As 0.000 0.355 0.500
As2 As 0.000 0.823 0.500
As3 As 0.173 0.693 0.000
As4 As 0.177 0.177 0.500
As5 As 0.307 0.480 0.000
As6 As 0.355 0.000 0.500
As7 As 0.480 0.307 0.000
As8 As 0.520 0.827 0.000
As9 As 0.645 0.645 0.500
As10 As 0.693 0.173 0.000
As11 As 0.823 0.000 0.500
As12 As 0.827 0.520 0.000

[6]
# PBE Sr3HSe, relaxed
# **DFT total energy**: -14.0 eV/cell
# **Space group**: Pm-3m (221)
# **Volume**: 30.76 Å³ per atom
data_Sr3HSe
_space_group_name_H-M_alt 'P 1'
_space_group_IT_number 1
_space_group_name_Hall 'P 1'
_cell_length_a 5.358
_cell_length_b 5.358
_cell_length_c 5.358
_cell_angle_alpha 90.00
_cell_angle_beta 90.00
_cell_angle_gamma 90.00
loop_
_atom_site_label
_atom_site_type_symbol
_atom_site_fract_x
_atom_site_fract_y
_atom_site_fract_z
Sr1 Sr 0.000 0.000 0.500
Sr2 Sr 0.000 0.500 0.000
Sr3 Sr 0.500 0.000 0.000
H1 H 0.000 0.000 0.000
Se1 Se 0.500 0.500 0.500

[7]
# PBE Ca2AsCl, relaxed
# **DFT total energy**: -16.4 eV/cell
# **E_form (uncorrected)**: -1.47 eV/atom
# **Space group**: Amm2 (38)
# **Volume**: 25.35 Å³ per atom
data_Ca2AsCl
_space_group_name_H-M_alt 'P 1'
_space_group_IT_number 1
_space_group_name_Hall 'P 1'
_cell_length_a 4.553
_cell_length_b 6.025
_cell_length_c 6.025
_cell_angle_alpha 37.85
_cell_angle_beta 90.00
_cell_angle_gamma 90.00
loop_
_atom_site_label
_atom_site_type_symbol
_atom_site_fract_x
_atom_site_fract_y
_atom_site_fract_z
Ca1 Ca 0.000 0.000 0.000
Ca2 Ca 0.500 0.248 0.248
As1 As 0.000 0.728 0.728
Cl1 Cl 0.500 0.485 0.485

[8]
# PBE Pr2CdAs, relaxed
# **DFT total energy**: -18.4 eV/cell
# **Space group**: R-3m (166)
# **DFT formation energy**: -811 meV/atom
# **Volume**: 30.80 Å³ per atom
data_Pr2CdAs
_space_group_name_H-M_alt 'P 1'
_space_group_IT_number 1
_space_group_name_Hall 'P 1'
_cell_length_a 8.196
_cell_length_b 8.196
_cell_length_c 8.196
_cell_angle_alpha 30.17
_cell_angle_beta 30.17
_cell_angle_gamma 30.17
loop_
_atom_site_label
_atom_site_type_symbol
_atom_site_fract_x
_atom_site_fract_y
_atom_site_fract_z
Pr1 Pr 0.238 0.238 0.238
Pr2 Pr 0.762 0.762 0.762
Cd1 Cd 0.000 0.000 0.000
As1 As 0.500 0.500 0.500

[9]
# PBE CaTc, relaxed
# **DFT total energy**: -32.7 eV/cell
# **Space group**: Cmmm (65)
# **DFT formation energy**: 737 meV/atom
# **Volume**: 19.93 Å³ per atom
data_CaTc
_space_group_name_H-M_alt 'P 1'
_space_group_IT_number 1
_space_group_name_Hall 'P 1'
_cell_length_a 6.335
_cell_length_b 6.335
_cell_length_c 4.909
_cell_angle_alpha 90.00
_cell_angle_beta 90.00
_cell_angle_gamma 142.62
loop_
_atom_site_label
_atom_site_type_symbol
_atom_site_fract_x
_atom_site_fract_y
_atom_site_fract_z
Ca1 Ca 0.000 0.000 0.000
Ca2 Ca 0.335 0.665 0.000
Ca3 Ca 0.665 0.335 0.000
Tc1 Tc 0.184 0.816 0.500
Tc2 Tc 0.500 0.500 0.500
Tc3 Tc 0.816 0.184 0.500

[10]
# PBE YEr2Th, relaxed
# **DFT total energy**: -45.8 eV/cell
# **Space group**: P-1 (2)
# **DFT formation energy**: 30 meV/atom
# **Volume**: 31.75 Å³ per atom
data_YEr2Th
_space_group_name_H-M_alt 'P 1'
_space_group_IT_number 1
_space_group_name_Hall 'P 1'
_cell_length_a 3.546
_cell_length_b 6.734
_cell_length_c 11.020
_cell_angle_alpha 90.50
_cell_angle_beta 90.02
_cell_angle_gamma 105.15
loop_
_atom_site_label
_atom_site_type_symbol
_atom_site_fract_x
_atom_site_fract_y
_atom_site_fract_z
Y1 Y 0.130 0.260 0.484
Y2 Y 0.870 0.740 0.516
Er1 Er 0.252 0.506 0.754
Er2 Er 0.479 0.960 0.252
Er3 Er 0.521 0.040 0.748
Er4 Er 0.748 0.494 0.246
Th1 Th 0.130 0.257 0.018
Th2 Th 0.870 0.743 0.982

[11]
# PBE CdSn3W, relaxed
# **DFT total energy**: -24.0 eV/cell
# **Space group**: Pm-3m (221)
# **DFT formation energy**: 380 meV/atom
# **Volume**: 29.89 Å³ per atom
data_CdSn3W
_space_group_name_H-M_alt 'P 1'
_space_group_IT_number 1
_space_group_name_Hall 'P 1'
_cell_length_a 5.307
_cell_length_b 5.307
_cell_length_c 5.307
_cell_angle_alpha 90.00
_cell_angle_beta 90.00
_cell_angle_gamma 90.00
loop_
_atom_site_label
_atom_site_type_symbol
_atom_site_fract_x
_atom_site_fract_y
_atom_site_fract_z
Cd1 Cd 0.000 0.000 0.000
Sn1 Sn 0.000 0.500 0.500
Sn2 Sn 0.500 0.000 0.500
Sn3 Sn 0.500 0.500 0.000
W1 W 0.500 0.500 0.500

[12]
# PBE Nd3Dy6Ho2Sc, relaxed
# **DFT total energy**: -57.0 eV/cell
# **Space group**: C2/m (12)
# **DFT formation energy**: 30 meV/atom
# **Volume**: 31.68 Å³ per atom
data_Nd3Dy6Ho2Sc
_space_group_name_H-M_alt 'P 1'
_space_group_IT_number 1
_space_group_name_Hall 'P 1'
_cell_length_a 6.157
_cell_length_b 6.157
_cell_length_c 11.759
_cell_angle_alpha 95.00
_cell_angle_beta 95.00
_cell_angle_gamma 119.98
loop_
_atom_site_label
_atom_site_type_symbol
_atom_site_fract_x
_atom_site_fract_y
_atom_site_fract_z
Nd1 Nd 0.000 0.000 0.000
Nd2 Nd 0.333 0.667 0.000
Nd3 Nd 0.667 0.333 0.000
Dy1 Dy 0.089 0.419 0.257
Dy2 Dy 0.250 0.250 0.744
Dy3 Dy 0.419 0.089 0.257
Dy4 Dy 0.581 0.911 0.743
Dy5 Dy 0.750 0.750 0.256
Dy6 Dy 0.911 0.581 0.743
Ho1 Ho 0.166 0.834 0.500
Ho2 Ho 0.834 0.166 0.500
Sc1 Sc 0.500 0.500 0.500